(1)
DFT (PBEsol) results for crystalline CdTeAs2O at its relaxed geometry.

Geometry as CIF:
```
data_CdTeAs2O
_space_group_name_H-M_alt 'P 1'
_space_group_IT_number 1
_space_group_name_Hall 'P 1'
_cell_length_a 4.4528
_cell_length_b 4.4528
_cell_length_c 4.7892
_cell_angle_alpha 90.00
_cell_angle_beta 90.00
_cell_angle_gamma 90.00
loop_
_atom_site_label
_atom_site_fract_x
_atom_site_fract_y
_atom_site_fract_z
_atom_site_occupancy
As1 0.0000 0.5000 0.0000 1
As2 0.5000 0.0000 0.0000 1
Te1 0.5000 0.5000 0.5000 1
O1 0.0000 0.0000 0.0000 1
Cd1 0.0000 0.0000 0.5000 1
```

Energy relative to the elements, uncorrected (meV/atom): 94.4
Magnetization (μB per formula unit): 0.00
DFT total energy (eV per atom): -3.943
Symmetry: No. 123

=====

(2)
DFT (PBEsol) results for crystalline Cd2AsOs at its relaxed geometry.

Geometry as CIF:
```
data_Cd2AsOs
_space_group_name_H-M_alt 'P 1'
_space_group_IT_number 1
_space_group_name_Hall 'P 1'
_cell_length_a 2.9104
_cell_length_b 3.9665
_cell_length_c 7.1650
_cell_angle_alpha 106.07
_cell_angle_beta 101.72
_cell_angle_gamma 90.00
loop_
_atom_site_label
_atom_site_fract_x
_atom_site_fract_y
_atom_site_fract_z
_atom_site_occupancy
Cd1 0.8139 0.8139 0.6278 1
Os1 0.5000 0.0000 0.0000 1
As1 0.0000 0.5000 0.0000 1
Cd2 0.1861 0.1861 0.3722 1
```

Magnetization (μB per formula unit): 0.00
DFT total energy (eV per atom): -4.619
E_form (eV per atom): 0.3105
Symmetry: No. 71

=====

(3)
DFT (PBEsol) results for crystalline CdAsOs2 at its relaxed geometry.

Geometry as CIF:
```
data_CdAsOs2
_space_group_name_H-M_alt 'P 1'
_space_group_IT_number 1
_space_group_name_Hall 'P 1'
_cell_length_a 2.8776
_cell_length_b 5.1252
_cell_length_c 5.3824
_cell_angle_alpha 120.08
_cell_angle_beta 105.50
_cell_angle_gamma 90.00
loop_
_atom_site_label
_atom_site_fract_x
_atom_site_fract_y
_atom_site_fract_z
_atom_site_occupancy
Os1 0.9769 0.8529 0.9538 1
As1 0.5293 0.5172 0.0587 1
Os2 0.2673 0.8460 0.5346 1
Cd1 0.7265 0.2838 0.4530 1
```

Magnetization (μB per formula unit): 0.00
DFT total energy (eV per atom): -7.169
Relative energy among the computed polymorphs (meV/atom): 0
E_form (eV per atom): 0.5147
Symmetry: No. 8

=====

(4)
DFT (PBEsol) results for crystalline CdAsOs2 at its relaxed geometry.

Geometry as CIF:
```
data_CdAsOs2
_space_group_name_H-M_alt 'P 1'
_space_group_IT_number 1
_space_group_name_Hall 'P 1'
_cell_length_a 4.1230
_cell_length_b 4.7083
_cell_length_c 4.1230
_cell_angle_alpha 64.03
_cell_angle_beta 90.00
_cell_angle_gamma 115.97
loop_
_atom_site_label
_atom_site_fract_x
_atom_site_fract_y
_atom_site_fract_z
_atom_site_occupancy
As1 0.5000 0.0000 0.5000 1
Os1 0.2500 0.5000 0.2500 1
Cd1 0.7500 0.5000 0.7500 1
Os2 0.0000 0.0000 0.0000 1
```

Magnetization (μB per formula unit): 0.00
DFT total energy (eV per atom): -6.853
Relative energy among the computed polymorphs (meV/atom): 316
E_form (eV per atom): 0.8310
Symmetry: No. 119

=====

(5)
DFT (PBEsol) results for crystalline Cd2AsOs at its relaxed geometry.

Geometry as CIF:
```
data_Cd2AsOs
_space_group_name_H-M_alt 'P 1'
_space_group_IT_number 1
_space_group_name_Hall 'P 1'
_cell_length_a 2.9768
_cell_length_b 4.6395
_cell_length_c 6.4235
_cell_angle_alpha 111.17
_cell_angle_beta 103.40
_cell_angle_gamma 90.00
loop_
_atom_site_label
_atom_site_fract_x
_atom_site_fract_y
_atom_site_fract_z
_atom_site_occupancy
Cd1 0.8104 0.3104 0.6208 1
As1 0.1813 0.6813 0.3625 1
Os1 0.5193 0.5193 0.0386 1
Cd2 0.9890 0.9890 0.9781 1
```

Magnetization (μB per formula unit): 0.00
DFT total energy (eV per atom): -4.638
E_form (eV per atom): 0.2912
Symmetry: No. 44

=====

(6)
DFT (PBEsol) results for crystalline Cd2AsOs at its relaxed geometry.

Geometry as CIF:
```
data_Cd2AsOs
_space_group_name_H-M_alt 'P 1'
_space_group_IT_number 1
_space_group_name_Hall 'P 1'
_cell_length_a 2.8763
_cell_length_b 2.8763
_cell_length_c 10.4668
_cell_angle_alpha 90.00
_cell_angle_beta 90.00
_cell_angle_gamma 118.93
loop_
_atom_site_label
_atom_site_fract_x
_atom_site_fract_y
_atom_site_fract_z
_atom_site_occupancy
Cd1 0.0000 0.0000 0.9921 1
Cd2 0.5000 0.5000 0.7190 1
Os1 0.0000 0.0000 0.4878 1
As1 0.5000 0.5000 0.3011 1
```

Magnetization (μB per formula unit): 0.00
DFT total energy (eV per atom): -4.587
E_form (eV per atom): 0.3422
Symmetry: No. 35

=====

(7)
DFT (PBEsol) results for crystalline CdAsOs3 at its relaxed geometry.

Geometry as CIF:
```
data_CdAsOs3
_space_group_name_H-M_alt 'P 1'
_space_group_IT_number 1
_space_group_name_Hall 'P 1'
_cell_length_a 4.7406
_cell_length_b 4.7406
_cell_length_c 4.7406
_cell_angle_alpha 90.00
_cell_angle_beta 90.00
_cell_angle_gamma 90.00
loop_
_atom_site_label
_atom_site_fract_x
_atom_site_fract_y
_atom_site_fract_z
_atom_site_occupancy
Os1 0.5000 0.0000 0.0000 1
Cd1 0.0000 0.0000 0.0000 1
Os2 0.0000 0.5000 0.0000 1
Os3 0.0000 0.0000 0.5000 1
As1 0.5000 0.5000 0.5000 1
```

Magnetization (μB per formula unit): 0.91
DFT total energy (eV per atom): -5.301
E_form (eV per atom): 3.2892
Symmetry: No. 221

=====

(8)
DFT (PBEsol) results for crystalline Cd2AsOs at its relaxed geometry.

Geometry as CIF:
```
data_Cd2AsOs
_space_group_name_H-M_alt 'P 1'
_space_group_IT_number 1
_space_group_name_Hall 'P 1'
_cell_length_a 2.8597
_cell_length_b 2.8597
_cell_length_c 10.1752
_cell_angle_alpha 81.92
_cell_angle_beta 81.92
_cell_angle_gamma 60.00
loop_
_atom_site_label
_atom_site_fract_x
_atom_site_fract_y
_atom_site_fract_z
_atom_site_occupancy
Cd1 0.2444 0.2444 0.2669 1
Os1 0.5000 0.5000 0.5000 1
As1 0.0000 0.0000 0.0000 1
Cd2 0.7556 0.7556 0.7331 1
```

Magnetization (μB per formula unit): 0.00
DFT total energy (eV per atom): -4.434
E_form (eV per atom): 0.4954
Symmetry: No. 166

=====

(9)
DFT (PBEsol) results for crystalline CdAs2P6 at its relaxed geometry.

Geometry as CIF:
```
data_CdAs2P6
_space_group_name_H-M_alt 'P 1'
_space_group_IT_number 1
_space_group_name_Hall 'P 1'
_cell_length_a 4.4136
_cell_length_b 6.7558
_cell_length_c 6.7558
_cell_angle_alpha 120.00
_cell_angle_beta 90.00
_cell_angle_gamma 90.00
loop_
_atom_site_label
_atom_site_fract_x
_atom_site_fract_y
_atom_site_fract_z
_atom_site_occupancy
As1 0.5000 0.6667 0.3333 1
P1 0.8281 0.3863 0.0000 1
P2 0.1719 0.0000 0.6137 1
P3 0.8281 0.0000 0.3863 1
P4 0.8281 0.6137 0.6137 1
P5 0.1719 0.3863 0.3863 1
Cd1 0.0000 0.0000 0.0000 1
As2 0.5000 0.3333 0.6667 1
P6 0.1719 0.6137 0.0000 1
```

Magnetization (μB per formula unit): 0.00
DFT total energy (eV per atom): -4.880
E_form (eV per atom): 0.2487
Symmetry: No. 162

=====

(10)
DFT (PBEsol) results for crystalline CdAs3P at its relaxed geometry.

Geometry as CIF:
```
data_CdAs3P
_space_group_name_H-M_alt 'P 1'
_space_group_IT_number 1
_space_group_name_Hall 'P 1'
_cell_length_a 4.9926
_cell_length_b 4.9926
_cell_length_c 4.9926
_cell_angle_alpha 90.00
_cell_angle_beta 90.00
_cell_angle_gamma 90.00
loop_
_atom_site_label
_atom_site_fract_x
_atom_site_fract_y
_atom_site_fract_z
_atom_site_occupancy
Cd1 0.0000 0.0000 0.0000 1
As1 0.0000 0.5000 0.0000 1
P1 0.5000 0.5000 0.5000 1
As2 0.5000 0.0000 0.0000 1
As3 0.0000 0.0000 0.5000 1
```

Magnetization (μB per formula unit): 0.00
DFT total energy (eV per atom): -3.094
Relative energy among the computed polymorphs (meV/atom): 756
E_form (eV per atom): 1.3675
Symmetry: No. 221

=====

(11)
DFT (PBEsol) results for crystalline Cd3AsP at its relaxed geometry.

Geometry as CIF:
```
data_Cd3AsP
_space_group_name_H-M_alt 'P 1'
_space_group_IT_number 1
_space_group_name_Hall 'P 1'
_cell_length_a 5.0436
_cell_length_b 5.0436
_cell_length_c 5.0436
_cell_angle_alpha 90.00
_cell_angle_beta 90.00
_cell_angle_gamma 90.00
loop_
_atom_site_label
_atom_site_fract_x
_atom_site_fract_y
_atom_site_fract_z
_atom_site_occupancy
P1 0.5000 0.5000 0.5000 1
Cd1 0.5000 0.0000 0.0000 1
Cd2 0.0000 0.0000 0.5000 1
As1 0.0000 0.0000 0.0000 1
Cd3 0.0000 0.5000 0.0000 1
```

Magnetization (μB per formula unit): 0.35
DFT total energy (eV per atom): -2.227
E_form (eV per atom): 0.6710
Symmetry: No. 221

=====

(12)
DFT (PBEsol) results for crystalline CdAsP at its relaxed geometry.

Geometry as CIF:
```
data_CdAsP
_space_group_name_H-M_alt 'P 1'
_space_group_IT_number 1
_space_group_name_Hall 'P 1'
_cell_length_a 4.5529
_cell_length_b 5.9695
_cell_length_c 5.9695
_cell_angle_alpha 78.14
_cell_angle_beta 67.58
_cell_angle_gamma 67.58
loop_
_atom_site_label
_atom_site_fract_x
_atom_site_fract_y
_atom_site_fract_z
_atom_site_occupancy
Cd1 0.6157 0.7500 0.7500 1
Cd2 0.8843 0.2500 0.2500 1
P1 0.1741 0.5759 0.0759 1
As1 0.7500 0.9464 0.0536 1
As2 0.2500 0.5536 0.4464 1
P2 0.3259 0.9241 0.4241 1
```

Magnetization (μB per formula unit): 0.00
DFT total energy (eV per atom): -4.075
E_form (eV per atom): -0.0432
Symmetry: No. 24

=====

(13)
DFT (PBEsol) results for crystalline CdAs3P at its relaxed geometry.

Geometry as CIF:
```
data_CdAs3P
_space_group_name_H-M_alt 'P 1'
_space_group_IT_number 1
_space_group_name_Hall 'P 1'
_cell_length_a 4.7565
_cell_length_b 4.7565
_cell_length_c 4.7565
_cell_angle_alpha 90.00
_cell_angle_beta 90.00
_cell_angle_gamma 90.00
loop_
_atom_site_label
_atom_site_fract_x
_atom_site_fract_y
_atom_site_fract_z
_atom_site_occupancy
As1 0.0000 0.5000 0.0000 1
Cd1 0.5000 0.5000 0.5000 1
As2 0.0000 0.0000 0.5000 1
As3 0.5000 0.0000 0.0000 1
P1 0.0000 0.0000 0.0000 1
```

Magnetization (μB per formula unit): 0.00
DFT total energy (eV per atom): -3.850
Relative energy among the computed polymorphs (meV/atom): 0
E_form (eV per atom): 0.6117
Symmetry: No. 221

=====

(14)
DFT (PBEsol) results for crystalline RbCd2AsP at its relaxed geometry.

Geometry as CIF:
```
data_RbCd2AsP
_space_group_name_H-M_alt 'P 1'
_space_group_IT_number 1
_space_group_name_Hall 'P 1'
_cell_length_a 6.3439
_cell_length_b 6.9753
_cell_length_c 6.9753
_cell_angle_alpha 90.00
_cell_angle_beta 90.00
_cell_angle_gamma 90.00
loop_
_atom_site_label
_atom_site_fract_x
_atom_site_fract_y
_atom_site_fract_z
_atom_site_occupancy
Cd1 0.0000 0.5000 0.0000 1
Cd2 0.0000 0.0000 0.5000 1
P1 0.5000 0.5000 0.5000 1
Rb1 0.0000 0.0000 0.0000 1
As1 0.5000 0.0000 0.0000 1
```

Magnetization (μB per formula unit): 5.00
DFT total energy (eV per atom): -1.287
E_form (eV per atom): 1.5762
Symmetry: No. 123